1.
The following is a DFT calculation (GGA-PBE) of an optimized crystal structure of CdCu2PO6.

* formation energy from raw total energies: -1179 meV per atom
* total moment: 0.000 μB/cell

a b c (Å): 8.5527 9.6512 6.9731
angles (deg): 90.00 102.35 90.00
Last column: nearest neighbours and their distance in Å.
Space group C2/c (No. 15)
One atom of each set of equivalent atoms:
1 Cd 0.0000 0.2046 0.2500 (multiplicity 4)  4 O 2.24-2.33
2 Cu 0.1343 0.4857 0.1570 (multiplicity 8)  4 O 1.85-1.92
3 P 0.0000 0.1133 0.7500 (multiplicity 4)  4 O 1.53-1.59
4 O 0.0078 0.2045 0.9311 (multiplicity 8)  1 P 1.53
5 O 0.0913 0.4472 0.4008 (multiplicity 8)  3 Cu 1.85-1.92
6 O 0.1421 0.0031 0.7791 (multiplicity 8)  1 P 1.59



2.
The following is a DFT calculation (GGA-PBE) of an optimized crystal structure of TbPm2ScTl2.

* energy of formation from the pure elements: -6.00 kcal/mol of atoms
* total moment: 0.000 μB/cell

a b c (Å): 4.9968 9.9591 6.9646
angles (deg): 90.00 90.00 90.00
Last column: nearest neighbours and their distance in Å.
Space group Pmc2_1 (No. 26)
One atom of each set of equivalent atoms:
1 Tb 0.0000 0.0463 0.0000 (multiplicity 2)  5 Tl 3.21-3.36, 2 Sc 3.52
2 Pm 0.0000 0.3125 0.3805 (multiplicity 2)  4 Tl 3.20-3.35, 2 Pm 3.46
3 Pm 0.5000 0.4511 0.0999 (multiplicity 2)  5 Tl 3.25-3.57, 4 Pm 3.46-3.62
4 Sc 0.5000 0.1898 0.7082 (multiplicity 2)  4 Tl 3.06-3.12
5 Tl 0.0000 0.3527 0.8367 (multiplicity 2)  2 Sc 3.11, 4 Pm 3.20-3.35, 1 Tb 3.26
6 Tl 0.5000 0.1141 0.2730 (multiplicity 2)  2 Sc 3.06-3.12, 4 Tb 3.21-3.36, 2 Pm 3.27



3.
The following is a DFT calculation (GGA-PBE) of an optimized crystal structure of LiTlRu2N.

* formation energy from raw total energies: 19 meV per atom
* total moment: 0.000 μB/cell

a b c (Å): 4.0397 4.0397 4.2213
angles (deg): 90.00 90.00 90.00
Last column: nearest neighbours and their distance in Å.
Space group P4/mmm (No. 123)
One atom of each set of equivalent atoms:
1 Li 0.0000 0.0000 0.0000 (multiplicity 1)  2 N 2.11
2 Tl 0.5000 0.5000 0.0000 (multiplicity 1)  4 Li 2.86, 8 Ru 2.92
3 Ru 0.0000 0.5000 0.5000 (multiplicity 2)  2 N 2.02
4 N 0.0000 0.0000 0.5000 (multiplicity 1)  4 Ru 2.02, 2 Li 2.11



4.
The following is a DFT calculation (GGA-PBE) of an optimized crystal structure of BeIr2Ru.

* energy of formation from the pure elements: -2.66 kcal/mol of atoms
* total moment: 0.000 μB/cell

a b c (Å): 2.7264 3.9164 5.0636
angles (deg): 90.00 103.74 90.00
Last column: nearest neighbours and their distance in Å.
Space group P2/m (No. 10)
One atom of each set of equivalent atoms:
1 Be 0.0000 0.0000 0.0000 (multiplicity 1)  4 Ir 2.39, 2 Ru 2.53
2 Ir 0.3711 0.5000 0.2341 (multiplicity 2)  2 Be 2.39, 2 Ir 2.62-2.63
3 Ru 0.0000 0.0000 0.5000 (multiplicity 1)  2 Be 2.53, 8 Ir 2.71-2.74, 2 Ru 2.73



Number 1: Fermi-level density of states 0.38 states/eV per atom. Number 2: Fermi-level density of states 1.17 states/eV per atom. Number 3: Fermi-level density of states 0.29 states/eV per atom. Number 4: Fermi-level density of states 0.82 states/eV per atom.